Record 1
# Ga2PtRh2 | Alexandria | PBE | optimized geometry
# total magnetic moment: 0.000 μB/atom
# DFT formation energy: -0.4884 eV/atom
# V: 147.5 Å³ per cell
# relative energy among the computed polymorphs: 2.4 kJ/mol of formula units
data_Ga2PtRh2
_chemical_formula_sum 'Ga4 Pt2 Rh4'
_cell_length_a 7.0953
_cell_length_b 7.0953
_cell_length_c 2.9300
_cell_angle_alpha 90.00
_cell_angle_beta 90.00
_cell_angle_gamma 90.00
_space_group_name_H-M_alt 'P 4/m b m'
_space_group_IT_number 127
_space_group_name_Hall '-P 4 2ab'
loop_
_atom_site_label
_atom_site_type_symbol
_atom_site_fract_x
_atom_site_fract_y
_atom_site_fract_z
_atom_site_occupancy
Ga1 Ga 0.1478 0.3522 0.0000 1
Pt1 Pt 0.0000 0.0000 0.0000 1
Rh1 Rh 0.1504 0.6504 0.5000 1


Record 2
# Pm3VSb | Alexandria | PBE | optimized geometry
# total magnetic moment: 0.000 μB/atom
# V: 146.4 Å³ per cell
# formation energy without anion corrections: 92 meV/atom
data_Pm3VSb
_chemical_formula_sum 'Pm3 V1 Sb1'
_cell_length_a 5.2708
_cell_length_b 5.2708
_cell_length_c 5.2708
_cell_angle_alpha 90.00
_cell_angle_beta 90.00
_cell_angle_gamma 90.00
_space_group_name_H-M_alt 'P m -3 m'
_space_group_IT_number 221
_space_group_name_Hall '-P 4 2 3'
loop_
_atom_site_label
_atom_site_type_symbol
_atom_site_fract_x
_atom_site_fract_y
_atom_site_fract_z
_atom_site_occupancy
Pm1 Pm 0.0000 0.0000 0.5000 1
V1 V 0.0000 0.0000 0.0000 1
Sb1 Sb 0.5000 0.5000 0.5000 1


Record 3
# LiMgZn2 | Alexandria | PBE | optimized geometry
# total magnetic moment: 0.000 μB/atom
# DFT formation energy: -0.1223 eV/atom
# V: 66.4 Å³ per cell
data_LiMgZn2
_chemical_formula_sum 'Li1 Mg1 Zn2'
_cell_length_a 4.0375
_cell_length_b 4.0375
_cell_length_c 4.0753
_cell_angle_alpha 90.00
_cell_angle_beta 90.00
_cell_angle_gamma 90.00
_space_group_name_H-M_alt 'P 4/m m m'
_space_group_IT_number 123
_space_group_name_Hall '-P 4 2'
loop_
_atom_site_label
_atom_site_type_symbol
_atom_site_fract_x
_atom_site_fract_y
_atom_site_fract_z
_atom_site_occupancy
Li1 Li 0.0000 0.0000 0.0000 1
Mg1 Mg 0.5000 0.5000 0.0000 1
Zn1 Zn 0.0000 0.5000 0.5000 1